TmSi7Os3 | PBE | relaxed

Cell: 7.989 7.989 7.989 Å, 57.15 57.15 57.15°
Fractional coordinates of all 22 atoms:
Tm 0.000 0.000 0.000
Tm 0.500 0.500 0.500
Si 0.064 0.854 0.669
Si 0.146 0.331 0.936
Si 0.169 0.354 0.564
Si 0.250 0.250 0.250
Si 0.331 0.936 0.146
Si 0.354 0.564 0.169
Si 0.436 0.831 0.646
Si 0.564 0.169 0.354
Si 0.646 0.436 0.831
Si 0.669 0.064 0.854
Si 0.750 0.750 0.750
Si 0.831 0.646 0.436
Si 0.854 0.669 0.064
Si 0.936 0.146 0.331
Os 0.079 0.750 0.421
Os 0.250 0.579 0.921
Os 0.421 0.079 0.750
Os 0.579 0.921 0.250
Os 0.750 0.421 0.079
Os 0.921 0.250 0.579

Properties
V   15.31 A^3/atom
Energy relative to the elements, uncorrected   -0.455 eV/atom
Total magnetic moment   0.000 μB per atom